# 1
! Ca2In12Pd7 | the Alexandria database | PBE | optimized geometry; values from VASP
! ΔH_f (0 K), eV/atom: -0.46
&SYSTEM
  ibrav = 0, nat = 21, ntyp = 3
/
ATOMIC_SPECIES
Ca 40.08 Ca.upf
In 114.82 In.upf
Pd 106.42 Pd.upf
CELL_PARAMETERS angstrom
10.9580 0.0000 0.0000
-5.4790 9.4899 0.0000
0.0000 0.0000 4.3952
ATOMIC_POSITIONS angstrom
Ca 0.0000 0.0000 0.0000
Ca 0.0000 6.3266 2.1976
In -1.2260 2.6698 2.1976
In -2.4912 7.0388 0.0000
In -2.5539 9.2168 2.1976
In 0.6288 3.8130 0.0000
In 3.0330 1.8153 0.0000
In 3.6282 3.9638 2.1976
In 5.7111 1.1602 2.1976
In 1.8624 8.1279 0.0000
In 3.7799 7.0932 2.1976
In 7.8693 1.7190 0.0000
In 5.5346 5.9555 0.0000
In 7.0976 4.3659 2.1976
Pd -2.1322 4.3240 0.0000
Pd 1.4111 2.1459 2.1976
Pd -0.6682 9.1744 0.0000
Pd 2.8004 5.4814 0.0000
Pd 5.4790 3.1633 0.0000
Pd 8.3940 0.1491 2.1976
Pd 6.6319 7.1949 2.1976



# 2
! MgGa2Sb | the Alexandria database | PBE | optimized geometry; values from VASP
! Excess energy over the best structure of this formula in the dataset, meV/atom: 100
! Uncorrected formation energy, eV/atom: 0.026
&SYSTEM
  ibrav = 0, nat = 4, ntyp = 3
/
ATOMIC_SPECIES
Mg 24.30 Mg.upf
Ga 69.72 Ga.upf
Sb 121.76 Sb.upf
CELL_PARAMETERS angstrom
0.0000 3.5499 3.5499
3.5499 0.0000 3.5499
3.5499 3.5499 0.0000
ATOMIC_POSITIONS angstrom
Mg 0.0000 0.0000 0.0000
Ga 1.7749 1.7749 1.7749
Ga 5.3248 5.3248 5.3248
Sb 3.5499 3.5499 3.5499



# 3
! CaBeRe2 | the Alexandria database | PBE | optimized geometry; values from VASP
! ΔH_f (0 K), eV/atom: 0.20
&SYSTEM
  ibrav = 0, nat = 4, ntyp = 3
/
ATOMIC_SPECIES
Ca 40.08 Ca.upf
Be 9.01 Be.upf
Re 186.21 Re.upf
CELL_PARAMETERS angstrom
3.0972 0.0000 0.0000
0.0000 3.0972 0.0000
0.0000 0.0000 7.0255
ATOMIC_POSITIONS angstrom
Ca 0.0000 0.0000 0.0000
Be 1.5486 1.5486 4.7967
Re 0.0000 0.0000 3.6854
Re 1.5486 1.5486 2.2631



# 4
! PPt2Br2 | the Alexandria database | PBE | optimized geometry; values from VASP
! Excess energy over the best structure of this formula in the dataset, meV/atom: 187
! Uncorrected formation energy, eV/atom: 1.051
&SYSTEM
  ibrav = 0, nat = 10, ntyp = 3
/
ATOMIC_SPECIES
P 30.97 P.upf
Pt 195.08 Pt.upf
Br 79.90 Br.upf
CELL_PARAMETERS angstrom
8.1342 0.0000 0.0000
0.0000 8.1342 0.0000
0.0000 0.0000 2.9706
ATOMIC_POSITIONS angstrom
P 0.0000 0.0000 0.0000
P 4.0671 4.0671 0.0000
Pt 1.3740 2.6931 1.4853
Pt 2.6931 6.7602 1.4853
Pt 5.4410 1.3740 1.4853
Pt 6.7602 5.4410 1.4853
Br 1.1668 5.2339 0.0000
Br 2.9003 1.1668 0.0000
Br 5.2339 6.9674 0.0000
Br 6.9674 2.9003 0.0000



# 5
! Sm3Bi5Te12 | the Alexandria database | PBE | optimized geometry; values from VASP
! Uncorrected formation energy, eV/atom: -0.513
&SYSTEM
  ibrav = 0, nat = 80, ntyp = 3
/
ATOMIC_SPECIES
Sm 150.36 Sm.upf
Bi 208.98 Bi.upf
Te 127.60 Te.upf
CELL_PARAMETERS angstrom
-9.2374 9.2374 9.2374
9.2374 -9.2374 9.2374
9.2374 9.2374 -9.2374
ATOMIC_POSITIONS angstrom
Sm 4.6187 2.3093 0.0000
Sm 9.2374 4.6187 -2.3093
Sm 2.3093 0.0000 4.6187
Sm 11.5467 0.0000 4.6187
Sm 0.0000 4.6187 2.3093
Sm 4.6187 -2.3093 9.2374
Sm 4.6187 11.5467 0.0000
Sm 9.2374 4.6187 6.9280
Sm -2.3093 9.2374 4.6187
Sm 6.9280 9.2374 4.6187
Sm 0.0000 4.6187 11.5467
Sm 4.6187 6.9280 9.2374
Bi 0.0000 0.0000 0.0000
Bi 4.6187 4.6187 -4.6187
Bi 4.6187 -4.6187 4.6187
Bi 9.2374 0.0000 0.0000
Bi 13.8560 2.3093 0.0000
Bi 9.2374 -4.6187 6.9280
Bi 6.9280 9.2374 -4.6187
Bi 6.9280 0.0000 4.6187
Bi 4.6187 6.9280 0.0000
Bi 9.2374 4.6187 2.3093
Bi -4.6187 4.6187 4.6187
Bi 0.0000 9.2374 0.0000
Bi 0.0000 0.0000 9.2374
Bi 4.6187 4.6187 4.6187
Bi 0.0000 4.6187 6.9280
Bi 4.6187 2.3093 9.2374
Bi 2.3093 9.2374 4.6187
Bi 2.3093 0.0000 13.8560
Bi 0.0000 13.8560 2.3093
Bi -4.6187 6.9280 9.2374
Te 2.8460 -0.2560 1.2937
Te 11.0101 5.9124 -4.8747
Te 8.9814 -1.2937 2.8460
Te 12.0834 0.2560 1.2937
Te 11.0101 -3.3249 4.8747
Te 14.1120 -1.7727 3.3249
Te 1.2937 2.8460 -0.2560
Te 12.5623 4.3627 -1.7727
Te 5.9124 4.8747 -1.7727
Te 7.9436 2.8460 0.2560
Te -0.2560 1.2937 2.8460
Te 4.8747 -1.7727 5.9124
Te 8.9814 7.9436 -2.8460
Te 4.8747 1.7727 3.3249
Te 5.9124 -4.8747 11.0101
Te 7.9436 -2.8460 8.9814
Te 3.3249 4.8747 1.7727
Te 10.5311 6.3914 0.2560
Te 2.8460 8.9814 -1.2937
Te 4.8747 11.0101 -3.3249
Te 8.9814 1.2937 6.3914
Te 11.0101 3.3249 4.3627
Te 1.7727 3.3249 4.8747
Te 2.8460 0.2560 7.9436
Te 6.3914 8.9814 1.2937
Te 7.4647 5.9124 4.3627
Te -1.7727 5.9124 4.8747
Te 0.2560 7.9436 2.8460
Te 4.3627 -1.7727 12.5623
Te 6.3914 0.2560 10.5311
Te -1.2937 2.8460 8.9814
Te 5.9124 4.3627 7.4647
Te 1.2937 12.0834 0.2560
Te 3.3249 14.1120 -1.7727
Te 4.3627 7.4647 5.9124
Te 0.2560 1.2937 12.0834
Te 4.3627 11.0101 3.3249
Te 9.4933 7.9436 6.3914
Te 1.2937 6.3914 8.9814
Te 3.3249 4.3627 11.0101
Te -3.3249 4.8747 11.0101
Te 7.9436 6.3914 9.4933
Te -4.8747 11.0101 5.9124
Te -1.7727 12.5623 4.3627
Te -2.8460 8.9814 7.9436
Te 0.2560 10.5311 6.3914
Te -1.7727 3.3249 14.1120
Te 6.3914 9.4933 7.9436



# 6
! BaZrSb2 | the Alexandria database | PBE | optimized geometry; values from VASP
! Excess energy over the best structure of this formula in the dataset, meV/atom: 163
! Uncorrected formation energy, eV/atom: -0.631
&SYSTEM
  ibrav = 0, nat = 4, ntyp = 3
/
ATOMIC_SPECIES
Ba 137.33 Ba.upf
Zr 91.22 Zr.upf
Sb 121.76 Sb.upf
CELL_PARAMETERS angstrom
3.5242 0.0000 0.0000
0.0000 3.8919 0.0000
0.0000 0.0000 8.4337
ATOMIC_POSITIONS angstrom
Ba 0.0000 0.0000 0.0000
Zr 0.0000 0.0000 4.2169
Sb 1.7621 1.9459 2.5037
Sb 1.7621 1.9459 5.9301



# 7
! Pm2Al2Cu | the Alexandria database | PBE | optimized geometry; values from VASP
! ΔH_f (0 K), eV/atom: -0.36
&SYSTEM
  ibrav = 0, nat = 10, ntyp = 3
/
ATOMIC_SPECIES
Pm 145.00 Pm.upf
Al 26.98 Al.upf
Cu 63.55 Cu.upf
CELL_PARAMETERS angstrom
5.2786 -2.2859 0.0000
5.2786 2.2859 0.0000
-5.0834 0.0000 9.5445
ATOMIC_POSITIONS angstrom
Pm -1.1047 0.0000 3.7560
Pm -0.8157 0.0000 7.8973
Pm 6.2895 0.0000 1.6472
Pm 6.5785 0.0000 5.7885
Al -3.8276 0.0000 9.0077
Al 2.0341 0.0000 3.6284
Al 3.4397 0.0000 5.9161
Al 9.3014 0.0000 0.5368
Cu 3.1924 0.0000 1.3762
Cu 2.2814 0.0000 8.1683



# 8
! Dy2TiHgO6 | the Alexandria database | PBE | optimized geometry; values from VASP
! Uncorrected formation energy, eV/atom: -2.557
&SYSTEM
  ibrav = 0, nat = 10, ntyp = 4
/
ATOMIC_SPECIES
Dy 162.50 Dy.upf
Ti 47.87 Ti.upf
Hg 200.59 Hg.upf
O 16.00 O.upf
CELL_PARAMETERS angstrom
5.2853 0.0000 0.0000
0.0000 5.2853 0.0000
0.0000 0.0000 5.3720
ATOMIC_POSITIONS angstrom
Dy 0.0000 2.6427 0.0000
Dy 2.6427 0.0000 0.0000
Ti 0.0000 0.0000 3.3718
Hg 2.6427 2.6427 2.8464
O 0.0000 0.0000 1.5277
O 1.2442 1.2442 4.1665
O 1.2442 4.0411 4.1665
O 2.6427 2.6427 0.7703
O 4.0411 1.2442 4.1665
O 4.0411 4.0411 4.1665



Number 1: calculated volume 21.76 Å³ per atom, ρ 8.0 Mg/m³. Number 2: calculated volume 22.37 Å³ per atom, ρ 5.3 Mg/m³. Number 3: calculated volume 16.85 Å³ per atom, ρ 10.4 Mg/m³. Number 4: calculated volume 19.65 Å³ per atom, ρ 9.8 Mg/m³. Number 5: calculated volume 39.41 Å³ per atom, ρ 6.4 Mg/m³. Number 6: calculated volume 28.92 Å³ per atom, ρ 6.8 Mg/m³. Number 7: calculated volume 23.03 Å³ per atom, ρ 5.9 Mg/m³. Number 8: calculated volume 15.01 Å³ per atom, ρ 7.4 Mg/m³.